[1]
Nd2RhF after structural relaxation, computed with PBE-GGA.

Total energy ... -76.1 eV/cell
Energy relative to the lowest polymorph listed for this composition ... 0.0 kJ/mol of atoms

a b c (Å): 4.2210 4.2210 22.8620
angles (deg): 90.00 90.00 120.00
Space group R-3m (No. 166, hexagonal axes)
One atom of each set of equivalent atoms:
Nd1 0.0000 0.0000 0.1011 (multiplicity 6)
Rh1 0.0000 0.0000 0.5000 (multiplicity 3)
F1 0.0000 0.0000 0.0000 (multiplicity 3)

[2]
Nd2RhF after structural relaxation, computed with PBE-GGA.

Total energy ... -74.3 eV/cell
Energy relative to the lowest polymorph listed for this composition ... 14.7 kJ/mol of atoms

a b c (Å): 4.0085 4.0085 24.0657
angles (deg): 90.00 90.00 120.00
Space group R3m (No. 160, hexagonal axes)
One atom of each set of equivalent atoms:
Nd1 0.0000 0.0000 0.0000 (multiplicity 3)
Nd2 0.0000 0.0000 0.1978 (multiplicity 3)
Rh1 0.0000 0.0000 0.5929 (multiplicity 3)
F1 0.0000 0.0000 0.3798 (multiplicity 3)

[3]
NdRhF after structural relaxation, computed with PBE-GGA.

Total energy ... -80.4 eV/cell

a b c (Å): 7.4103 4.2934 7.7947
angles (deg): 90.00 108.71 90.00
Space group C2/m (No. 12)
One atom of each set of equivalent atoms:
Nd1 0.0866 0.0000 0.2583 (multiplicity 4)
Rh1 0.1633 0.5000 0.9893 (multiplicity 4)
F1 0.1970 0.0000 0.5888 (multiplicity 4)

[4]
Nd2RuF after structural relaxation, computed with PBE-GGA.

Total energy ... -76.7 eV/cell
Energy relative to the lowest polymorph listed for this composition ... 0.0 kJ/mol of atoms

a b c (Å): 3.9991 3.9991 19.9430
angles (deg): 90.00 90.00 120.00
Space group R-3m (No. 166, hexagonal axes)
One atom of each set of equivalent atoms:
Nd1 0.0000 0.0000 0.2473 (multiplicity 6)
Ru1 0.0000 0.0000 0.5000 (multiplicity 3)
F1 0.0000 0.0000 0.0000 (multiplicity 3)

[5]
Nd2RuF after structural relaxation, computed with PBE-GGA.

Total energy ... -76.0 eV/cell
Energy relative to the lowest polymorph listed for this composition ... 5.3 kJ/mol of atoms

a b c (Å): 3.9210 3.9210 22.5541
angles (deg): 90.00 90.00 120.00
Space group R3m (No. 160, hexagonal axes)
One atom of each set of equivalent atoms:
Nd1 0.0000 0.0000 0.0000 (multiplicity 3)
Nd2 0.0000 0.0000 0.1853 (multiplicity 3)
Ru1 0.0000 0.0000 0.5879 (multiplicity 3)
F1 0.0000 0.0000 0.3943 (multiplicity 3)

[6]
Nd2RuF after structural relaxation, computed with PBE-GGA.

Total energy ... -25.4 eV/cell
Energy relative to the lowest polymorph listed for this composition ... 4.4 kJ/mol of atoms

a b c (Å): 3.3523 3.3523 7.4850
angles (deg): 90.00 90.00 90.00
Space group P4/mmm (No. 123)
One atom of each set of equivalent atoms:
Nd1 0.0000 0.0000 0.2374 (multiplicity 2)
Ru1 0.5000 0.5000 0.0000 (multiplicity 1)
F1 0.5000 0.5000 0.5000 (multiplicity 1)

[7]
NdSF after structural relaxation, computed with PBE-GGA.

Total energy ... -116.0 eV/cell

a b c (Å): 4.6320 4.6320 21.1199
angles (deg): 90.00 90.00 120.00
Space group R-3m (No. 166, hexagonal axes)
One atom of each set of equivalent atoms:
Nd1 0.0000 0.0000 0.2463 (multiplicity 6)
S1 0.0000 0.0000 0.3870 (multiplicity 6)
F1 0.0000 0.0000 0.1372 (multiplicity 6)

[8]
NdSF after structural relaxation, computed with PBE-GGA.

Total energy ... -36.6 eV/cell

a b c (Å): 3.8860 3.8860 8.0133
angles (deg): 90.00 90.00 90.00
Space group I4mm (No. 107)
One atom of each set of equivalent atoms:
Nd1 0.0000 0.0000 0.0000 (multiplicity 2)
S1 0.0000 0.0000 0.3797 (multiplicity 2)
F1 0.0000 0.0000 0.7167 (multiplicity 2)

[9]
Nd2S2F after structural relaxation, computed with PBE-GGA.

Total energy ... -128.4 eV/cell
Energy relative to the lowest polymorph listed for this composition ... 0.0 kJ/mol of atoms

a b c (Å): 3.9213 15.8505 7.0277
angles (deg): 90.00 90.00 90.00
Space group Cmc2_1 (No. 36)
One atom of each set of equivalent atoms:
Nd1 0.0000 0.0612 0.0000 (multiplicity 4)
Nd2 0.0000 0.3171 0.9546 (multiplicity 4)
S1 0.0000 0.3035 0.5507 (multiplicity 4)
S2 0.0000 0.4575 0.1985 (multiplicity 4)
F1 0.0000 0.0975 0.3528 (multiplicity 4)

[10]
Nd2S2F after structural relaxation, computed with PBE-GGA.

Total energy ... -24.0 eV/cell
Energy relative to the lowest polymorph listed for this composition ... 156.0 kJ/mol of atoms

a b c (Å): 3.7483 3.7483 11.6705
angles (deg): 90.00 90.00 90.00
Space group P4/mmm (No. 123)
One atom of each set of equivalent atoms:
Nd1 0.0000 0.0000 0.1959 (multiplicity 2)
S1 0.0000 0.0000 0.4159 (multiplicity 2)
F1 0.0000 0.0000 0.0000 (multiplicity 1)

[11]
NdSF after structural relaxation, computed with PBE-GGA.

Total energy ... -76.8 eV/cell

a b c (Å): 6.3724 6.3724 6.3724
angles (deg): 90.00 90.00 90.00
Space group F-43m (No. 216)
One atom of each set of equivalent atoms:
Nd1 0.0000 0.0000 0.0000 (multiplicity 4)
S1 0.2500 0.2500 0.7500 (multiplicity 4)
F1 0.2500 0.2500 0.2500 (multiplicity 4)

[12]
NdSF after structural relaxation, computed with PBE-GGA.

Total energy ... -19.6 eV/cell

a b c (Å): 4.0733 4.0733 3.9537
angles (deg): 90.00 90.00 120.00
Space group P-6m2 (No. 187)
One atom of each set of equivalent atoms:
Nd1 0.0000 0.0000 0.0000 (multiplicity 1)
S1 0.6667 0.3333 0.5000 (multiplicity 1)
F1 0.3333 0.6667 0.0000 (multiplicity 1)

[13]
NdSF after structural relaxation, computed with PBE-GGA.

Total energy ... -39.6 eV/cell

a b c (Å): 3.9518 3.9518 6.9893
angles (deg): 90.00 90.00 90.00
Space group P4/nmm (No. 129, origin choice 2)
One atom of each set of equivalent atoms:
Nd1 0.2500 0.2500 0.2299 (multiplicity 2)
S1 0.2500 0.2500 0.6465 (multiplicity 2)
F1 0.2500 0.7500 0.0000 (multiplicity 2)

[14]
Nd2SF4 after structural relaxation, computed with PBE-GGA.

Total energy ... -93.0 eV/cell

a b c (Å): 7.4024 7.4024 3.9094
angles (deg): 90.00 90.00 90.00
Space group P4_2/mnm (No. 136)
One atom of each set of equivalent atoms:
Nd1 0.2192 0.2192 0.0000 (multiplicity 4)
S1 0.0000 0.0000 0.5000 (multiplicity 2)
F1 0.0880 0.6692 0.0000 (multiplicity 8)

[15]
SrNdS2F after structural relaxation, computed with PBE-GGA.

Total energy ... -58.9 eV/cell

a b c (Å): 4.0671 4.0671 14.3654
angles (deg): 90.00 90.00 90.00
Space group P4/nmm (No. 129, origin choice 2)
One atom of each set of equivalent atoms:
Sr1 0.2500 0.2500 0.1012 (multiplicity 2)
Nd1 0.2500 0.2500 0.6252 (multiplicity 2)
S1 0.2500 0.2500 0.4074 (multiplicity 2)
S2 0.2500 0.2500 0.8046 (multiplicity 2)
F1 0.2500 0.7500 0.0000 (multiplicity 2)

[16]
NdSbF after structural relaxation, computed with PBE-GGA.

Total energy ... -32.9 eV/cell
Energy relative to the lowest polymorph listed for this composition ... 28.2 kJ/mol of atoms

a b c (Å): 3.4247 3.4247 11.6231
angles (deg): 90.00 90.00 90.00
Space group I4mm (No. 107)
One atom of each set of equivalent atoms:
Nd1 0.0000 0.0000 0.0000 (multiplicity 2)
Sb1 0.0000 0.0000 0.2919 (multiplicity 2)
F1 0.0000 0.0000 0.5640 (multiplicity 2)

[17]
Nd2SbF after structural relaxation, computed with PBE-GGA.

Total energy ... -90.1 eV/cell
Energy relative to the lowest polymorph listed for this composition ... 0.0 kJ/mol of atoms

a b c (Å): 7.7639 7.5992 7.8548
angles (deg): 90.00 99.80 90.00
Space group P2_1/c (No. 14)
One atom of each set of equivalent atoms:
Nd1 0.0515 0.1674 0.3324 (multiplicity 4)
Nd2 0.3968 0.7478 0.4817 (multiplicity 4)
Sb1 0.3311 0.0742 0.7180 (multiplicity 4)
F1 0.0899 0.6503 0.9069 (multiplicity 4)

[18]
Nd2SbF after structural relaxation, computed with PBE-GGA.

Total energy ... -66.4 eV/cell
Energy relative to the lowest polymorph listed for this composition ... 9.9 kJ/mol of atoms

a b c (Å): 4.1952 4.1952 20.0395
angles (deg): 90.00 90.00 120.00
Space group R-3m (No. 166, hexagonal axes)
One atom of each set of equivalent atoms:
Nd1 0.0000 0.0000 0.2370 (multiplicity 6)
Sb1 0.0000 0.0000 0.0000 (multiplicity 3)
F1 0.0000 0.0000 0.5000 (multiplicity 3)

[19]
NdSbF after structural relaxation, computed with PBE-GGA.

Total energy ... -69.3 eV/cell
Energy relative to the lowest polymorph listed for this composition ... 0.0 kJ/mol of atoms

a b c (Å): 11.3104 4.2033 7.0264
angles (deg): 90.00 113.10 90.00
Space group C2/m (No. 12)
One atom of each set of equivalent atoms:
Nd1 0.1883 0.0000 0.2370 (multiplicity 4)
Sb1 0.0469 0.5000 0.8366 (multiplicity 4)
F1 0.2168 0.0000 0.5942 (multiplicity 4)

[20]
NdSbF after structural relaxation, computed with PBE-GGA.

Total energy ... -17.1 eV/cell
Energy relative to the lowest polymorph listed for this composition ... 8.5 kJ/mol of atoms

a b c (Å): 4.1011 4.1011 4.8872
angles (deg): 90.00 90.00 120.00
Space group P-6m2 (No. 187)
One atom of each set of equivalent atoms:
Nd1 0.0000 0.0000 0.0000 (multiplicity 1)
Sb1 0.6667 0.3333 0.5000 (multiplicity 1)
F1 0.3333 0.6667 0.0000 (multiplicity 1)

| no. | ΔE_f (raw) (eV per atom) |
| --- | --- |
| 1 | -1.654 |
| 2 | -1.502 |
| 3 | -2.038 |
| 4 | -1.221 |
| 5 | -1.166 |
| 6 | -1.175 |
| 7 | -2.856 |
| 8 | -2.513 |
| 9 | -2.490 |
| 10 | -0.873 |
| 11 | -2.814 |
| 12 | -2.942 |
| 13 | -3.009 |
| 14 | -3.622 |
| 15 | -2.571 |
| 16 | -1.899 |
| 17 | -1.752 |
| 18 | -1.649 |
| 19 | -2.191 |
| 20 | -2.102 |